Y2Be2Zn: optimized geometry, GGA-PBE.

Unit cell a=6.780 b=6.780 c=4.164 alpha=90.00 beta=90.00 gamma=90.00
Site moments in Bohr magnetons follow the coordinates.
Fractional positions:
Y  0.176  0.676  0.500  0.11
Y  0.676  0.824  0.500  0.11
Y  0.824  0.324  0.500  0.11
Y  0.324  0.176  0.500  0.11
Be  0.384  0.884  0.000  0.03
Be  0.884  0.616  0.000  0.03
Be  0.616  0.116  0.000  0.03
Be  0.116  0.384  0.000  0.03
Zn  0.000  0.000  0.000  0.01
Zn  0.500  0.500  0.000  0.01

Values from the calculation:
Calculated formation energy = -0.2 eV per formula unit
D(E_F) = 5.01 states/eV/f.u.

***

Ho5ErSc2: optimized geometry, GGA-PBE.

Unit cell a=8.733 b=8.733 c=8.745 alpha=119.95 beta=119.95 gamma=90.00
Fractional positions:
Ho  0.493  0.690  0.683
Ho  0.810  0.007  0.317
Ho  0.000  0.000  0.000
Ho  0.500  0.500  0.000
Ho  0.190  0.993  0.683
Ho  0.690  0.190  0.683
Ho  0.993  0.493  0.683
Ho  0.310  0.810  0.317
Ho  0.007  0.507  0.317
Ho  0.507  0.310  0.317
Er  0.750  0.750  0.500
Er  0.250  0.250  0.500
Sc  0.142  0.358  0.000
Sc  0.642  0.142  0.000
Sc  0.358  0.858  0.000
Sc  0.858  0.642  0.000

Values from the calculation:
ΔE to the lowest computed polymorph = 81.3 meV per atom
Calculated formation energy = 0.8 eV per formula unit
D(E_F) = 8.71 states/eV/f.u.

***

SbTe2Ru: optimized geometry, GGA-PBE.

Unit cell a=6.795 b=6.795 c=6.795 alpha=152.15 beta=137.33 gamma=51.72
Fractional positions:
Ru  0.493  0.493  0.000
Sb  0.676  0.176  0.500
Te  0.013  0.013  0.000
Te  0.318  0.818  0.500

Values from the calculation:
Raw formation energy = 0.14 eV per atom
D(E_F) = 2.37 states/eV/f.u.

***

LiGdHoCo: optimized geometry, GGA-PBE.

Unit cell a=4.869 b=4.869 c=4.869 alpha=60.00 beta=60.00 gamma=60.00
Site moments in Bohr magnetons follow the coordinates.
Fractional positions:
Gd  0.750  0.750  0.750  7.09
Co  0.000  0.000  0.000  -0.22
Ho  0.250  0.250  0.250  0.07
Li  0.500  0.500  0.500  0.01

Values from the calculation:
Calculated formation energy = -0.3 eV per formula unit
D(E_F) = 3.00 states/eV/f.u.

***

K2InTe: optimized geometry, GGA-PBE.

Unit cell a=4.565 b=4.565 c=7.129 alpha=90.00 beta=90.00 gamma=90.00
Fractional positions:
In  0.500  0.500  0.750
K  0.000  0.000  0.029
K  0.000  0.000  0.471
Te  0.500  0.500  0.250

Values from the calculation:
ΔE to the lowest computed polymorph = 105.1 meV per atom
Raw formation energy = -0.45 eV per atom
D(E_F) = 3.30 states/eV/f.u.

***

TbNd2Tl: optimized geometry, GGA-PBE.

Unit cell a=5.024 b=4.923 c=4.923 alpha=90.00 beta=90.00 gamma=90.00
Fractional positions:
Nd  0.000  0.000  0.500
Nd  0.000  0.500  0.000
Tl  0.500  0.000  0.000
Tb  0.500  0.500  0.500

Values from the calculation:
ΔE to the lowest computed polymorph = 0.0 meV per atom
Calculated formation energy = -0.8 eV per formula unit
D(E_F) = 6.43 states/eV/f.u.

***

LiBeFe: optimized geometry, GGA-PBE.

Unit cell a=7.069 b=2.463 c=8.416 alpha=90.00 beta=113.07 gamma=90.00
Site moments in Bohr magnetons follow the coordinates.
Fractional positions:
Li  0.965  0.000  0.660  -0.02
Li  0.965  0.500  0.160  -0.02
Li  0.775  0.000  0.339  -0.03
Li  0.775  0.500  0.839  -0.03
Be  0.149  0.000  0.996  -0.03
Be  0.149  0.500  0.496  -0.03
Be  0.280  0.000  0.350  -0.05
Be  0.280  0.500  0.850  -0.05
Fe  0.409  0.000  0.686  2.00
Fe  0.409  0.500  0.186  2.00
Fe  0.566  0.000  0.007  2.40
Fe  0.566  0.500  0.507  2.40

Values from the calculation:
ΔE to the lowest computed polymorph = 20.2 meV per atom
Calculated formation energy = 0.4 eV per formula unit
D(E_F) = 1.44 states/eV/f.u.

***

CdIr4: optimized geometry, GGA-PBE.

Unit cell a=4.774 b=4.774 c=4.774 alpha=90.00 beta=90.00 gamma=90.00
Site moments in Bohr magnetons follow the coordinates.
Fractional positions:
Ir  0.000  0.000  0.000  1.55
Ir  0.500  0.000  0.500  1.09
Ir  0.000  0.500  0.500  1.09
Ir  0.500  0.500  0.000  1.09
Cd  0.500  0.500  0.500  0.01

Values from the calculation:
ΔE to the lowest computed polymorph = 2626.1 meV per atom
Calculated formation energy = 14.1 eV per formula unit
D(E_F) = 8.86 states/eV/f.u.